# InSiRh2, optimized geometry, DFT PBE-GGA
# E_form (uncorrected) in eV/atom: -0.52
# Calculated total energy in eV for the cell shown: -24.95
data_InSiRh2
_space_group_name_H-M_alt 'P m m 2'
_space_group_IT_number 25
_space_group_name_Hall 'P 2 -2'
_cell_length_a 2.9896
_cell_length_b 3.1626
_cell_length_c 7.0326
_cell_angle_alpha 90.00
_cell_angle_beta 90.00
_cell_angle_gamma 90.00
loop_
_atom_site_label
_atom_site_type_symbol
_atom_site_fract_x
_atom_site_fract_y
_atom_site_fract_z
_atom_site_occupancy
In1 In 0.0000 0.0000 0.0000 1
Si1 Si 0.0000 0.5000 0.4890 1
Rh1 Rh 0.5000 0.0000 0.3404 1
Rh2 Rh 0.5000 0.5000 0.7483 1